Compound: Y2AlTc
Source: the Alexandria database
Functional: PBE-GGA
Structure: optimized geometry

a = 3.580 Å, b = 3.573 Å, c = 7.782 Å
α = 62.70°, β = 90.00°, γ = 90.00°
Atoms (fractional coordinates):
Al (0.500, 0.250, 0.250)
Y (0.000, 0.481, 0.519)
Y (0.000, 0.019, 0.981)
Tc (0.500, 0.750, 0.750)

Output
- Final energy: -6.93 eV/atom
- Space-group type: P4/mmm, No. 123
- N(E_F): 4.8 states/eV per cell
- Formation enthalpy at 0 K: -0.167 eV/atom
- Magnetic moment: 0.0 Bohr magnetons per cell

---

Compound: ZrVP2
Source: the Alexandria database
Functional: PBE-GGA
Structure: optimized geometry

a = 5.564 Å, b = 5.564 Å, c = 6.963 Å
α = 66.45°, β = 66.45°, γ = 90.00°
Each line ends with the local moment (μB).
Atoms (fractional coordinates):
P (0.875, 0.841, 0.750)  -0.05
P (0.159, 0.625, 0.250)  -0.05
P (0.375, 0.409, 0.750)  -0.05
P (0.591, 0.125, 0.250)  -0.05
V (0.500, 0.500, 0.000)  1.45
V (0.250, 0.750, 0.500)  1.45
Zr (0.000, 0.000, 0.000)  0.07
Zr (0.750, 0.250, 0.500)  0.07

Output
- Final energy: -7.47 eV/atom
- Space-group type: I-42d, No. 122
- N(E_F): 7.8 states/eV per cell
- Energy relative to the lowest polymorph listed for this composition: 529.9 meV/atom
- Formation enthalpy at 0 K: -0.348 eV/atom
- Magnetic moment: 3.3 Bohr magnetons per cell

---

Compound: LaHoHgGe
Source: the Alexandria database
Functional: PBE-GGA
Structure: optimized geometry

a = 5.278 Å, b = 5.278 Å, c = 5.278 Å
α = 60.00°, β = 60.00°, γ = 60.00°
Atoms (fractional coordinates):
Hg (0.750, 0.750, 0.750)
La (0.000, 0.000, 0.000)
Ho (0.500, 0.500, 0.500)
Ge (0.250, 0.250, 0.250)

Output
- Final energy: -4.17 eV/atom
- Space-group type: F-43m, No. 216
- N(E_F): 4.0 states/eV per cell
- Formation enthalpy at 0 K: -0.565 eV/atom
- Magnetic moment: 0.0 Bohr magnetons per cell

---

Compound: TmHfNi2
Source: the Alexandria database
Functional: PBE-GGA
Structure: optimized geometry

a = 3.246 Å, b = 3.246 Å, c = 6.593 Å
α = 90.00°, β = 90.00°, γ = 90.00°
Atoms (fractional coordinates):
Tm (0.500, 0.500, 0.500)
Ni (0.000, 0.000, 0.215)
Ni (0.000, 0.000, 0.785)
Hf (0.500, 0.500, 0.000)

Output
- Final energy: -6.95 eV/atom
- Space-group type: P4/mmm, No. 123
- N(E_F): 4.3 states/eV per cell
- Energy relative to the lowest polymorph listed for this composition: 48.9 meV/atom
- Formation enthalpy at 0 K: -0.457 eV/atom
- Magnetic moment: 0.0 Bohr magnetons per cell

---

Compound: Tl2PAuS4
Source: the Alexandria database
Functional: PBE-GGA
Structure: optimized geometry

a = 6.476 Å, b = 6.738 Å, c = 12.498 Å
α = 82.85°, β = 74.98°, γ = 61.28°
Atoms (fractional coordinates):
Tl (0.558, 0.500, 0.884)
Tl (0.808, 0.000, 0.384)
Tl (0.192, 0.000, 0.616)
Tl (0.942, 0.500, 0.116)
Au (0.750, 0.500, 0.500)
Au (0.000, 0.000, 0.000)
S (0.492, 0.300, 0.596)
S (0.838, 0.800, 0.904)
S (0.362, 0.800, 0.096)
S (0.388, 0.700, 0.404)
S (0.208, 0.300, 0.404)
S (0.258, 0.200, 0.904)
S (0.912, 0.700, 0.596)
S (0.542, 0.200, 0.096)
P (0.250, 0.500, 0.500)
P (0.500, 0.000, 0.000)

Output
- Final energy: -3.96 eV/atom
- Space-group type: Fddd, No. 70
- Energy relative to the elements, uncorrected: -0.2187 eV/atom
- Magnetic moment: 0.0 Bohr magnetons per cell

---

Compound: MgB3Br
Source: the Alexandria database
Functional: PBE-GGA
Structure: optimized geometry

a = 4.235 Å, b = 4.235 Å, c = 4.235 Å
α = 90.00°, β = 90.00°, γ = 90.00°
Atoms (fractional coordinates):
Br (0.000, 0.000, 0.000)
B (0.000, 0.000, 0.500)
B (0.000, 0.500, 0.000)
B (0.500, 0.000, 0.000)
Mg (0.500, 0.500, 0.500)

Output
- Final energy: -2.35 eV/atom
- Space-group type: Pm-3m, No. 221
- N(E_F): 2.0 states/eV per cell
- Energy relative to the lowest polymorph listed for this composition: 93.2 meV/atom
- Energy relative to the elements, uncorrected: 2.3095 eV/atom
- Magnetic moment: 0.0 Bohr magnetons per cell